This record from Alexandria describes a relaxed Ag2AuCl crystal. The functional is GGA-PBE.

```
data_Ag2AuCl
_chemical_formula_sum 'Ag4 Au2 Cl2'
_symmetry_space_group_name_H-M 'I m m 2'
_symmetry_Int_Tables_number 44
_cell_length_a 3.190
_cell_length_b 4.155
_cell_length_c 12.855
_cell_angle_alpha 90.00
_cell_angle_beta 90.00
_cell_angle_gamma 90.00
loop_
_symmetry_equiv_pos_as_xyz
'x,y,z'
'-x,-y,z'
'-x,y,z'
'x,-y,z'
'x+1/2,y+1/2,z+1/2'
'-x+1/2,-y+1/2,z+1/2'
'-x+1/2,y+1/2,z+1/2'
'x+1/2,-y+1/2,z+1/2'
loop_
_atom_site_label
_atom_site_type_symbol
_atom_site_fract_x
_atom_site_fract_y
_atom_site_fract_z
Ag1 Ag 0.000 0.000 0.000
Ag2 Ag 0.000 0.500 0.283
Au1 Au 0.000 0.500 0.855
Cl1 Cl 0.000 0.000 0.602
```

DFT total energy (eV/atom): -2.74
Energy above the most stable polymorph in this dataset (eV per atom): 0.093
Energy relative to the elements, uncorrected (kJ/mol of atoms): -3.6
Total magnetization (μB per formula unit): 0.000

=====

This record from Alexandria describes a relaxed ScTiPb2 crystal. The functional is GGA-PBE.

```
data_ScTiPb2
_chemical_formula_sum 'Sc1 Ti1 Pb2'
_symmetry_space_group_name_H-M 'P 4/m m m'
_symmetry_Int_Tables_number 123
_symmetry_space_group_name_Hall '-P 4 2'
_cell_length_a 3.777
_cell_length_b 3.777
_cell_length_c 6.469
_cell_angle_alpha 90.00
_cell_angle_beta 90.00
_cell_angle_gamma 90.00
loop_
_atom_site_label
_atom_site_type_symbol
_atom_site_fract_x
_atom_site_fract_y
_atom_site_fract_z
Sc1 Sc 0.000 0.000 0.000
Ti1 Ti 0.000 0.000 0.500
Pb1 Pb 0.500 0.500 0.261
```

DFT total energy (eV/atom): -5.44
Energy above the most stable polymorph in this dataset (eV per atom): 0.030
Total magnetization (μB per formula unit): 0.001